No. 1
Here is MgTa2Mo2 after structural relaxation from the Alexandria database. Energies are from PBE.

POSCAR file:
```
MgTa2Mo2
1.0
-5.592 -2.296 4.540
-2.865 -4.153 -5.630
1.797 -2.516 0.941
Mo Mg Ta
4 2 4
direct
0.355 0.855 0.000
0.855 0.645 0.000
0.645 0.145 0.000
0.145 0.355 0.000
0.000 0.000 0.000
0.500 0.500 0.000
0.150 0.650 0.500
0.650 0.850 0.500
0.850 0.350 0.500
0.350 0.150 0.500
```

ΔE_f ... 0.371 eV per atom
DFT total energy ... -90.22 eV for the cell shown
N(E_F) ... 9.155 states/eV per cell

No. 2
Here is Tl2CrSbS4 after structural relaxation from the Alexandria database. Energies are from PBE.

POSCAR file:
```
Tl2CrSbS4
1.0
-3.463 -5.164 -2.060
6.196 -1.866 1.016
-2.658 2.268 5.541
Tl Cr Sb S
2 1 1 4
direct
0.500 0.750 0.250
0.000 0.000 0.000
0.500 0.250 0.750
0.000 0.500 0.500
0.540 0.282 0.445
0.163 0.258 0.718
0.837 0.555 0.095
0.460 0.905 0.742
```

DFT total energy ... -37.36 eV for the cell shown
N(E_F) ... 3.447 states/eV per cell